Density functional theory data (PBE-GGA) for a relaxed LiAgSnB2 crystal.

It has space group P4/mmm (No. 123), with a = 4.075 Å, b = 4.075 Å, c = 4.863 Å, α = 90.00°, β = 90.00° and γ = 90.00°. Symmetry generates all atoms from Li at (0.000, 0.000, 0.000), Ag at (0.500, 0.500, 0.500), Sn at (0.000, 0.000, 0.500) and B at (0.000, 0.500, 0.000).

The calculated total energy is -2.944 eV/atom. For the magnetic moment, the calculation gives 0.00 Bohr magnetons per cell. The value obtained for the formation energy is 1.480 eV/atom.



Density functional theory data (PBE-GGA) for a relaxed MgAgB3 crystal.

It has space group Pm-3m (No. 221), with a = 4.240 Å, b = 4.240 Å, c = 4.240 Å, α = 90.00°, β = 90.00° and γ = 90.00°. Symmetry generates all atoms from Mg at (0.000, 0.000, 0.000), Ag at (0.500, 0.500, 0.500) and B at (0.000, 0.500, 0.500).

The calculated total energy is -3.034 eV/atom. For the magnetic moment, the calculation gives 0.00 Bohr magnetons per cell. The offset from the most stable computed form comes out at 0 meV per atom. The value obtained for the formation energy is 1.861 eV/atom.



Density functional theory data (PBE-GGA) for a relaxed MgAg2B crystal.

It has space group Fm-3m (No. 225), with a = 6.207 Å, b = 6.207 Å, c = 6.207 Å, α = 90.00°, β = 90.00° and γ = 90.00°. Symmetry generates all atoms from Mg at (0.000, 0.000, 0.000), Ag at (0.250, 0.250, 0.250) and B at (0.000, 0.000, 0.500).

The calculated total energy is -2.916 eV/atom. For the magnetic moment, the calculation gives 0.00 Bohr magnetons per cell. The offset from the most stable computed form comes out at 0 meV per atom. The value obtained for the formation energy is 0.577 eV/atom.



Density functional theory data (PBE-GGA) for a relaxed MgAg3B crystal.

It has space group Pm-3m (No. 221), with a = 4.939 Å, b = 4.939 Å, c = 4.939 Å, α = 90.00°, β = 90.00° and γ = 90.00°. Symmetry generates all atoms from Mg at (0.000, 0.000, 0.000), Ag at (0.000, 0.000, 0.500) and B at (0.500, 0.500, 0.500).

The calculated total energy is -1.872 eV/atom. For the magnetic moment, the calculation gives 0.00 Bohr magnetons per cell. The offset from the most stable computed form comes out at 1225 meV per atom. The value obtained for the formation energy is 1.493 eV/atom.



Density functional theory data (PBE-GGA) for a relaxed MgAgB2 crystal.

It has space group I4_1/amd (No. 141, origin choice 2), with a = 3.696 Å, b = 3.696 Å, c = 15.985 Å, α = 90.00°, β = 90.00° and γ = 90.00°. Symmetry generates all atoms from Mg at (0.000, 0.250, 0.375), Ag at (0.000, 0.250, 0.875) and B at (0.000, 0.000, 0.000).

The calculated total energy is -3.737 eV/atom. For the magnetic moment, the calculation gives 0.00 Bohr magnetons per cell. The value obtained for the formation energy is 0.713 eV/atom.



Density functional theory data (PBE-GGA) for a relaxed MgAgB3 crystal.

It has space group Pm-3m (No. 221), with a = 4.329 Å, b = 4.329 Å, c = 4.329 Å, α = 90.00°, β = 90.00° and γ = 90.00°. Symmetry generates all atoms from Mg at (0.000, 0.000, 0.000), Ag at (0.500, 0.500, 0.500) and B at (0.000, 0.000, 0.500).

The calculated total energy is -2.632 eV/atom. For the magnetic moment, the calculation gives 0.00 Bohr magnetons per cell. The offset from the most stable computed form comes out at 403 meV per atom. The value obtained for the formation energy is 2.264 eV/atom.



Density functional theory data (PBE-GGA) for a relaxed Mg2AgB2 crystal.

It has space group P4/mbm (No. 127), with a = 7.114 Å, b = 7.114 Å, c = 2.807 Å, α = 90.00°, β = 90.00° and γ = 90.00°. Symmetry generates all atoms from Mg at (0.136, 0.364, 0.000), Ag at (0.000, 0.000, 0.000) and B at (0.165, 0.665, 0.500).

The calculated total energy is -3.018 eV/atom. For the magnetic moment, the calculation gives 0.00 Bohr magnetons per cell. The offset from the most stable computed form comes out at 387 meV per atom. The value obtained for the formation energy is 0.861 eV/atom.



Density functional theory data (PBE-GGA) for a relaxed MgAg3B crystal.

It has space group Pm-3m (No. 221), with a = 4.395 Å, b = 4.395 Å, c = 4.395 Å, α = 90.00°, β = 90.00° and γ = 90.00°. Symmetry generates all atoms from Mg at (0.000, 0.000, 0.000), Ag at (0.000, 0.500, 0.500) and B at (0.500, 0.500, 0.500).

The calculated total energy is -3.097 eV/atom. For the magnetic moment, the calculation gives 0.00 Bohr magnetons per cell. The offset from the most stable computed form comes out at 0 meV per atom. The value obtained for the formation energy is 0.268 eV/atom.



Density functional theory data (PBE-GGA) for a relaxed MgAg2B crystal.

It has space group I-42d (No. 122), with a = 4.928 Å, b = 4.928 Å, c = 13.692 Å, α = 90.00°, β = 90.00° and γ = 90.00°. Symmetry generates all atoms from Mg at (0.000, 0.000, 0.000), Ag at (0.116, 0.250, 0.625) and B at (0.000, 0.000, 0.500).

The calculated total energy is -2.725 eV/atom. For the magnetic moment, the calculation gives 0.00 Bohr magnetons per cell. The offset from the most stable computed form comes out at 191 meV per atom. The value obtained for the formation energy is 0.768 eV/atom.



Density functional theory data (PBE-GGA) for a relaxed Mg2AgB crystal.

It has space group I4_1/amd (No. 141, origin choice 2), with a = 9.007 Å, b = 9.007 Å, c = 4.402 Å, α = 90.00°, β = 90.00° and γ = 90.00°. Symmetry generates all atoms from Mg at (0.000, 0.000, 0.000), Ag at (0.000, 0.250, 0.375) and B at (0.000, 0.250, 0.875).

The calculated total energy is -2.844 eV/atom. For the magnetic moment, the calculation gives 0.00 Bohr magnetons per cell. The value obtained for the formation energy is 0.335 eV/atom.



Density functional theory data (PBE-GGA) for a relaxed Mg2AgB2 crystal.

It has space group I4/mmm (No. 139), with a = 2.884 Å, b = 2.884 Å, c = 16.495 Å, α = 90.00°, β = 90.00° and γ = 90.00°. Symmetry generates all atoms from Mg at (0.000, 0.000, 0.129), Ag at (0.000, 0.000, 0.500) and B at (0.000, 0.500, 0.250).

The calculated total energy is -3.406 eV/atom. For the magnetic moment, the calculation gives 0.00 Bohr magnetons per cell. The offset from the most stable computed form comes out at 0 meV per atom. The value obtained for the formation energy is 0.474 eV/atom.



Density functional theory data (PBE-GGA) for a relaxed MgAgBN2 crystal.

It has space group P4/mmm (No. 123), with a = 4.236 Å, b = 4.236 Å, c = 4.008 Å, α = 90.00°, β = 90.00° and γ = 90.00°. Symmetry generates all atoms from Mg at (0.000, 0.000, 0.000), Ag at (0.500, 0.500, 0.500), B at (0.500, 0.500, 0.000) and N at (0.000, 0.500, 0.500).

The calculated total energy is -3.579 eV/atom. For the magnetic moment, the calculation gives 0.00 Bohr magnetons per cell. As for the formation energy without anion corrections: 1.975 eV/atom.



no.,mass density (g/cm³)
1,5.2
2,3.6
3,7.0
4,4.9
5,4.7
6,3.4
7,4.2
8,7.0
9,5.0
10,3.1
11,4.3
12,3.9